Entry 1:
! Tb2Pm2Nd4Ho (PBE, optimized geometry); values from VASP
! crystal system: monoclinic
! ΔE_f: 15 kJ/mol of formula units
! symmetry: C2/m
&SYSTEM
  ibrav = 0, nat = 9, ntyp = 4
/
ATOMIC_SPECIES
Nd 144.24 Nd.upf
Pm 145.00 Pm.upf
Ho 164.93 Ho.upf
Tb 158.93 Tb.upf
CELL_PARAMETERS angstrom
5.143 0.000 0.000
-2.572 7.712 0.024
0.000 -2.605 7.666
ATOMIC_POSITIONS crystal
Nd 0.445 0.890 0.669
Nd 0.555 0.110 0.331
Pm 0.112 0.223 0.670
Ho 0.000 0.000 0.000
Pm 0.888 0.777 0.330
Nd 0.222 0.444 0.331
Tb 0.333 0.667 0.000
Nd 0.778 0.556 0.669
Tb 0.667 0.333 0.000


Entry 2:
! SrTl4Sb2 (PBE, optimized geometry); values from VASP
! crystal system: orthorhombic
! raw formation energy: -0.266 eV per atom
! symmetry: Cmmm
&SYSTEM
  ibrav = 0, nat = 7, ntyp = 3
/
ATOMIC_SPECIES
Sb 121.76 Sb.upf
Tl 204.38 Tl.upf
Sr 87.62 Sr.upf
CELL_PARAMETERS angstrom
4.681 0.000 0.000
0.000 4.705 0.000
0.000 -2.352 10.695
ATOMIC_POSITIONS crystal
Sb 0.500 0.569 0.138
Tl 0.500 0.824 0.648
Sr 0.000 0.000 0.000
Tl 0.000 0.323 0.646
Tl 0.000 0.677 0.354
Sb 0.500 0.431 0.862
Tl 0.500 0.176 0.352


Entry 3:
! Be2HgPdS (PBE, optimized geometry); values from VASP
! crystal system: tetragonal
! raw formation energy: 1.043 eV per atom
! symmetry: P4/mmm
&SYSTEM
  ibrav = 0, nat = 5, ntyp = 4
/
ATOMIC_SPECIES
Be 9.01 Be.upf
S 32.06 S.upf
Pd 106.42 Pd.upf
Hg 200.59 Hg.upf
CELL_PARAMETERS angstrom
4.355 0.000 0.000
0.000 5.294 0.000
0.000 0.000 4.355
ATOMIC_POSITIONS crystal
Be 0.500 0.000 0.000
S 0.500 0.500 0.500
Be 0.000 0.000 0.500
Pd 0.000 0.500 0.000
Hg 0.000 0.000 0.000


| no. | energy (eV per atom) | M_tot (μB per formula unit) |
| --- | --- | --- |
| 1 | -4.695 | 0.00 |
| 2 | -3.036 | 0.00 |
| 3 | -2.372 | 0.00 |